PBE-GGA YSbBr2, relaxed; formation energy without anion corrections = -1.026 eV/atom; space-group type = Pm
1.0
4.6343 0.0000 0.0000
0.0000 4.1126 0.0000
-0.6364 0.0000 7.3647
Y Sb Br
1 1 2
Direct
0.0000 0.0000 0.0000
0.5084 0.5000 0.0631
0.2043 0.0000 0.3576
0.7869 0.5000 0.7297

PBE-GGA Rb2Mg, relaxed; final energy = -0.03583 Ha/atom; space-group type = C2/m
1.0
18.2927 0.0000 0.0000
0.0000 4.5953 0.0000
-1.1223 0.0000 4.4542
Rb Mg
4 2
Direct
0.1377 0.0000 0.1368
0.3623 0.5000 0.8632
0.6377 0.5000 0.1368
0.8623 0.0000 0.8632
0.0000 0.5000 0.5000
0.5000 0.0000 0.5000

PBE-GGA TbPr2TmBi5, relaxed; final energy = -0.15971 Ha/atom; space-group type = P4/mmm
1.0
5.4667 0.0000 0.0000
0.0000 5.4667 0.0000
0.0000 0.0000 11.8792
Tb Pr Tm Bi
1 2 1 5
Direct
0.0000 0.0000 0.0000
0.5000 0.5000 0.2223
0.5000 0.5000 0.7777
0.0000 0.0000 0.5000
0.0000 0.0000 0.2556
0.0000 0.0000 0.7444
0.0000 0.5000 0.0000
0.5000 0.0000 0.0000
0.5000 0.5000 0.5000

PBE-GGA Dy2AlZnAu6, relaxed; final energy = -0.14243 Ha/atom; space-group type = P-1
1.0
5.5059 0.0000 0.0000
2.5617 6.0740 0.0000
2.6188 -0.7508 6.1537
Dy Al Zn Au
2 1 1 6
Direct
0.2430 0.2620 0.2493
0.7570 0.7380 0.7507
0.0000 0.0000 0.0000
0.5000 0.5000 0.5000
0.1731 0.8090 0.3194
0.2530 0.5862 0.9098
0.3280 0.1685 0.6997
0.6720 0.8315 0.3003
0.7470 0.4138 0.0902
0.8269 0.1910 0.6806

PBE-GGA ThZrPt2, relaxed; final energy = -0.29348 Ha/atom; space-group type = P4/mmm
1.0
3.4209 0.0000 0.0000
0.0000 3.4209 0.0000
0.0000 0.0000 7.2645
Th Zr Pt
1 1 2
Direct
0.0000 0.0000 0.0000
0.0000 0.0000 0.5000
0.5000 0.5000 0.2902
0.5000 0.5000 0.7098

PBE-GGA NaCrAs2, relaxed; final energy = -0.19186 Ha/atom; space-group type = P4/mmm
1.0
3.0290 0.0000 0.0000
0.0000 3.0290 0.0000
0.0000 0.0000 7.5601
Na Cr As
1 1 2
Direct
0.0000 0.0000 0.0000
0.0000 0.0000 0.5000
0.5000 0.5000 0.3066
0.5000 0.5000 0.6934

PBE-GGA YPu2AgTe5, relaxed; formation energy without anion corrections = -0.927 eV/atom; space-group type = Cmc2_1
1.0
2.1678 -9.3701 0.0000
2.1678 9.3701 0.0000
0.0000 0.0000 13.1894
Y Pu Ag Te
2 4 2 10
Direct
0.1949 0.8051 0.5000
0.8051 0.1949 0.0000
0.1137 0.8863 0.1726
0.1223 0.8777 0.7991
0.8777 0.1223 0.2991
0.8863 0.1137 0.6726
0.4313 0.5687 0.9460
0.5687 0.4313 0.4460
0.0413 0.9587 0.5669
0.2900 0.7100 0.1634
0.3044 0.6956 0.8297
0.3599 0.6401 0.4909
0.4992 0.5008 0.2628
0.5008 0.4992 0.7628
0.6401 0.3599 0.9909
0.6956 0.3044 0.3297
0.7100 0.2900 0.6634
0.9587 0.0413 0.0669

PBE-GGA CuSiTc2, relaxed; formation energy without anion corrections = -0.048 eV/atom; space-group type = P4/mmm
1.0
2.9546 0.0000 0.0000
0.0000 2.9546 0.0000
0.0000 0.0000 6.1179
Cu Si Tc
1 1 2
Direct
0.0000 0.0000 0.0000
0.0000 0.0000 0.5000
0.5000 0.5000 0.2715
0.5000 0.5000 0.7285